## PuAl7Ag5 (PBE)

Data for a geometry-optimized PuAl7Ag5 structure.

Size of the total moment: 0.446 μB per atom
ΔE_f: -120 meV per atom

POSCAR file:
```
PuAl7Ag5
1.0
5.087 0.000 2.089
2.577 6.523 0.963
0.065 -0.067 7.078
Pu Al Ag
1 7 5
Cartesian
5.081 0.014 2.102
4.215 2.302 4.211
3.496 4.202 5.963
6.024 2.273 7.044
6.772 4.235 5.224
2.008 1.413 2.347
4.606 5.112 3.259
3.146 1.281 6.814
2.596 0.010 4.514
0.067 0.010 3.476
3.808 3.190 1.564
1.279 3.190 0.525
5.720 5.045 7.785
```


## LaYTmLu (PBE)

Data for a geometry-optimized LaYTmLu structure.

Size of the total moment: 0.001 μB per atom
ΔE_f: 88 meV per atom

POSCAR file:
```
LaYTmLu
1.0
5.693 0.000 0.000
2.846 4.930 0.000
2.846 1.643 4.648
Y Lu Tm La
1 1 1 1
Cartesian
8.539 4.930 3.486
5.693 3.287 2.324
0.000 0.000 0.000
2.846 1.643 1.162
```


## YAsN3 (PBE)

Data for a geometry-optimized YAsN3 structure.

Size of the total moment: 0.000 μB per atom
E_form (uncorrected): 0.7 eV/f.u.

POSCAR file:
```
YAsN3
1.0
3.801 0.000 0.000
0.000 3.801 0.000
0.000 0.000 3.801
Y As N
1 1 3
Cartesian
1.900 1.900 1.900
0.000 0.000 0.000
0.000 1.900 0.000
0.000 0.000 1.900
1.900 0.000 0.000
```


## La3Pr2SmAs6 (PBE)

Data for a geometry-optimized La3Pr2SmAs6 structure.

Size of the total moment: 0.000 μB per atom
ΔE_f: -1540 meV per atom

POSCAR file:
```
La3Pr2SmAs6
1.0
-0.060 4.226 0.937
-8.060 -0.791 3.052
5.390 -3.720 7.120
La Pr Sm As
3 2 1 6
Cartesian
-4.060 1.718 1.995
2.201 0.911 6.034
-4.931 -1.195 5.076
-1.832 0.512 7.573
-0.898 -0.797 3.536
-0.030 2.113 0.468
-3.794 -1.802 7.886
-2.929 1.116 4.781
1.064 1.518 3.223
-1.972 -0.194 0.751
-0.758 -0.090 10.359
0.200 -1.400 6.328
```


> The highest size of the total moment belongs to which entry?

PuAl7Ag5